Material: LiZn5
Method: DFT, PBEsol
State: relaxed

Unit cell a=4.399 b=2.635 c=14.319 alpha=90.00 beta=90.00 gamma=90.00
Positions (direct):
Li (0.000, 0.000, 0.000)
Li (0.000, 0.500, 0.500)
Zn (0.000, 0.000, 0.333)
Zn (0.000, 0.000, 0.664)
Zn (0.000, 0.500, 0.164)
Zn (0.000, 0.500, 0.833)
Zn (0.500, 0.000, 0.223)
Zn (0.500, 0.000, 0.557)
Zn (0.500, 0.000, 0.895)
Zn (0.500, 0.500, 0.057)
Zn (0.500, 0.500, 0.395)
Zn (0.500, 0.500, 0.723)

Excess energy over the best structure of this formula in the dataset   0.034 eV per atom
DFT formation energy   -89 meV per atom
Density   6.7 g cm⁻³